The following is a DFT calculation (GGA-PBE) of a geometry-optimized B2MoRu structure.

Lattice parameters (Å, degrees): 4.505 4.505 10.546 90.00 90.00 90.00
Space group I-42d (No. 122)
Asymmetric unit:
1 B 0.222 0.250 0.125 [8 per cell]
2 Mo 0.000 0.000 0.500 [4 per cell]
3 Ru 0.000 0.000 0.000 [4 per cell]

Fermi-level density of states: 13.8 states/eV per cell
excess energy over the best structure of this formula in the dataset: 94.2 kJ/mol of atoms
M_tot: 0.0 μB/cell
ΔE_f: 2.68 eV/f.u.


The following is a DFT calculation (GGA-PBE) of a geometry-optimized BMo3Ru structure.

Lattice parameters (Å, degrees): 4.159 4.159 4.159 90.00 90.00 90.00
Space group Pm-3m (No. 221)
Asymmetric unit:
1 B 0.000 0.000 0.000 [1 per cell]
2 Mo 0.000 0.000 0.500 [3 per cell]
3 Ru 0.500 0.500 0.500 [1 per cell]

Fermi-level density of states: 4.2 states/eV per cell
excess energy over the best structure of this formula in the dataset: 0.0 kJ/mol of atoms
M_tot: 0.0 μB/cell
ΔE_f: 1.17 eV/f.u.


The following is a DFT calculation (GGA-PBE) of a geometry-optimized B3MoRu structure.

Lattice parameters (Å, degrees): 3.926 3.926 3.926 90.00 90.00 90.00
Space group Pm-3m (No. 221)
Asymmetric unit:
1 B 0.000 0.000 0.500 [3 per cell]
2 Mo 0.500 0.500 0.500 [1 per cell]
3 Ru 0.000 0.000 0.000 [1 per cell]

Fermi-level density of states: 5.6 states/eV per cell
excess energy over the best structure of this formula in the dataset: 0.0 kJ/mol of atoms
M_tot: 0.0 μB/cell
ΔE_f: 6.26 eV/f.u.


The following is a DFT calculation (GGA-PBE) of a geometry-optimized B2MoRu structure.

Lattice parameters (Å, degrees): 2.969 4.594 5.988 90.00 90.00 90.00
Space group Pmc2_1 (No. 26)
Asymmetric unit:
1 B 0.000 0.133 0.000 [2 per cell]
2 B 0.500 0.333 0.943 [2 per cell]
3 Mo 0.000 0.383 0.649 [2 per cell]
4 Ru 0.500 0.124 0.288 [2 per cell]

Fermi-level density of states: 5.1 states/eV per cell
excess energy over the best structure of this formula in the dataset: 0.0 kJ/mol of atoms
M_tot: 0.0 μB/cell
ΔE_f: -1.22 eV/f.u.